(1)
Entry from Alexandria: crystalline NdCd3Ag at its relaxed geometry (PBE).

Properties
Space-group type: P6_3/mmc (194)
Distance to the lowest polymorph of the same formula, eV per atom: 0.052
Energy of formation from the pure elements, eV per atom: -0.17

a b c (Å): 5.771 7.015 7.015
angles (deg): 120.00 90.00 90.00
Element x y z (fractional)
Cd 0.750 0.194 0.806
Ag 0.500 0.000 0.000
Cd 0.250 0.806 0.194
Cd 0.750 0.612 0.806
Cd 0.250 0.388 0.194
Cd 0.250 0.806 0.612
Ag 0.000 0.000 0.000
Cd 0.750 0.194 0.388
Nd 0.250 0.333 0.667
Nd 0.750 0.667 0.333



(2)
Entry from Alexandria: crystalline Nd2Cd3Ag4 at its relaxed geometry (PBE).

Properties
Space-group type: P-1 (2)
Distance to the lowest polymorph of the same formula, eV per atom: 0.000
Energy of formation from the pure elements, eV per atom: -0.24

a b c (Å): 4.984 5.060 9.357
angles (deg): 86.36 89.92 60.50
Element x y z (fractional)
Ag 0.663 0.675 0.904
Cd 0.349 0.299 0.415
Cd 0.651 0.701 0.585
Ag 0.337 0.325 0.096
Nd 0.677 0.645 0.230
Nd 0.323 0.355 0.770
Ag 0.022 0.955 0.356
Cd 0.000 0.000 0.000
Ag 0.978 0.045 0.644



(3)
Entry from Alexandria: crystalline Nd2Cd3Ag3 at its relaxed geometry (PBE).

Properties
Space-group type: R3m (160)
Energy of formation from the pure elements, eV per atom: -0.28

a b c (Å): 5.085 5.085 8.767
angles (deg): 73.14 73.14 60.00
Element x y z (fractional)
Cd 0.624 0.624 0.127
Nd 0.498 0.498 0.507
Nd 0.002 0.002 0.993
Cd 0.751 0.751 0.746
Ag 0.876 0.876 0.372
Ag 0.372 0.372 0.883
Cd 0.249 0.249 0.254
Ag 0.127 0.127 0.618



(4)
Entry from Alexandria: crystalline Nd6Cd3Ag at its relaxed geometry (PBE).

Properties
Space-group type: P2_1/m (11)
Energy of formation from the pure elements, eV per atom: -0.21

a b c (Å): 5.481 9.354 12.125
angles (deg): 110.04 90.00 90.00
Element x y z (fractional)
Nd 0.250 0.137 0.152
Nd 0.750 0.749 0.501
Nd 0.750 0.335 0.329
Cd 0.250 0.531 0.372
Nd 0.750 0.912 0.137
Nd 0.750 0.538 0.915
Nd 0.250 0.849 0.305
Ag 0.750 0.046 0.415
Cd 0.750 0.469 0.628
Nd 0.750 0.863 0.848
Nd 0.250 0.665 0.671
Cd 0.750 0.605 0.215
Nd 0.250 0.462 0.085
Cd 0.250 0.768 0.976
Cd 0.250 0.395 0.785
Nd 0.750 0.151 0.695
Nd 0.250 0.088 0.863
Nd 0.250 0.251 0.499
Ag 0.250 0.954 0.585
Cd 0.750 0.232 0.024



(5)
Entry from Alexandria: crystalline Nd4CdAg2 at its relaxed geometry (PBE).

Properties
Space-group type: R-3m (166)
Distance to the lowest polymorph of the same formula, eV per atom: 0.102
Energy of formation from the pure elements, eV per atom: -0.03

a b c (Å): 5.199 5.199 9.817
angles (deg): 74.65 74.65 60.00
Element x y z (fractional)
Nd 0.622 0.622 0.133
Nd 0.378 0.378 0.867
Ag 0.900 0.900 0.299
Nd 0.208 0.208 0.375
Cd 0.000 0.000 0.000
Ag 0.100 0.100 0.701
Nd 0.792 0.792 0.625



(6)
Entry from Alexandria: crystalline Nd3Cd9Ag2 at its relaxed geometry (PBE).

Properties
Space-group type: Immm (71)
Energy of formation from the pure elements, eV per atom: -0.25

a b c (Å): 4.892 8.788 8.788
angles (deg): 72.68 73.84 73.84
Element x y z (fractional)
Cd 0.357 0.278 0.008
Nd 0.000 0.000 0.000
Cd 0.643 0.992 0.722
Cd 0.859 0.421 0.861
Nd 0.291 0.709 0.709
Cd 0.000 0.500 0.500
Cd 0.859 0.861 0.421
Ag 0.500 0.656 0.344
Cd 0.357 0.008 0.278
Cd 0.141 0.579 0.139
Nd 0.709 0.291 0.291
Cd 0.643 0.722 0.992
Cd 0.141 0.139 0.579
Ag 0.500 0.344 0.656



(7)
Entry from Alexandria: crystalline Nd2Cd2Ag at its relaxed geometry (PBE).

Properties
Space-group type: Immm (71)
Distance to the lowest polymorph of the same formula, eV per atom: 0.060
Energy of formation from the pure elements, eV per atom: -0.20

a b c (Å): 3.912 6.395 11.708
angles (deg): 78.65 80.38 72.19
Element x y z (fractional)
Cd 0.103 0.397 0.896
Ag 0.250 0.750 0.250
Cd 0.897 0.603 0.104
Nd 0.116 0.653 0.616
Ag 0.750 0.250 0.750
Cd 0.604 0.897 0.396
Nd 0.384 0.847 0.884
Nd 0.884 0.347 0.384
Cd 0.396 0.103 0.604
Nd 0.616 0.153 0.116



(8)
Entry from Alexandria: crystalline Nd4CdAg2 at its relaxed geometry (PBE).

Properties
Space-group type: R-3m (166)
Distance to the lowest polymorph of the same formula, eV per atom: 0.000
Energy of formation from the pure elements, eV per atom: -0.13

a b c (Å): 5.302 5.302 9.018
angles (deg): 72.90 72.90 60.00
Each line ends with the local moment (μB).
Element x y z (fractional)
Ag 0.256 0.256 0.233  0.02
Nd 0.383 0.383 0.852  0.10
Nd 0.617 0.617 0.148  0.10
Ag 0.744 0.744 0.767  0.02
Cd 0.000 0.000 0.000  0.00
Nd 0.870 0.870 0.390  0.24
Nd 0.130 0.130 0.610  0.24



What is the formula in the first record?
NdCd3Ag